# 1
TiCoP2O8: PBEsol geometry, SCAN.

Unit cell a=7.9405 b=7.9405 c=26.2627 alpha=90.00 beta=90.00 gamma=120.00
Space group R3 (No. 146, hexagonal axes)
Asymmetric unit:
Ti 0.0000 0.0000 0.0000 x3
Ti 0.0000 0.0000 0.1878 x3
Ti 0.0000 0.0000 0.7020 x3
Co 0.0000 0.0000 0.0862 x3
Co 0.0000 0.0000 0.5876 x3
Co 0.0000 0.0000 0.8645 x3
P 0.0128 0.7331 0.7767 x9
P 0.0214 0.2359 0.9096 x9
O 0.0509 0.8358 0.1261 x9
O 0.0556 0.7862 0.3950 x9
O 0.0763 0.5011 0.2492 x9
O 0.0771 0.2315 0.7506 x9
O 0.0892 0.2317 0.9668 x9
O 0.1533 0.7562 0.3517 x9
O 0.1653 0.7465 0.4917 x9
O 0.1790 0.4386 0.8874 x9

Results
The calculation puts the uncorrected formation energy at -2111 kJ/mol of formula units. The calculation puts the electronic total energy at -10.489 eV per atom. The density of states at the Fermi level comes out at 21.51 states/eV per cell.

=====

# 2
Ti3SiGe: PBEsol geometry, SCAN.

Unit cell a=4.5251 b=4.5251 c=4.5251 alpha=90.00 beta=90.00 gamma=90.00
Space group Pm-3m (No. 221)
Asymmetric unit:
Ti 0.0000 0.0000 0.5000 x3
Si 0.0000 0.0000 0.0000 x1
Ge 0.5000 0.5000 0.5000 x1

Results
The calculation puts the uncorrected formation energy at 92 kJ/mol of formula units. The calculation puts the electronic total energy at -15.248 eV per atom. The density of states at the Fermi level comes out at 3.89 states/eV per cell.

=====

# 3
Mn5Fe: PBEsol geometry, SCAN.

Unit cell a=8.9233 b=2.4406 c=5.7852 alpha=90.00 beta=104.39 gamma=90.00
Space group Cm (No. 8)
Asymmetric unit:
Mn 0.0000 0.0000 0.0000 x2
Mn 0.0565 0.0000 0.6101 x2
Mn 0.2205 0.5000 0.9463 x2
Mn 0.3304 0.0000 0.6648 x2
Mn 0.3866 0.0000 0.2791 x2
Fe 0.1652 0.5000 0.3342 x2

Results
The calculation puts the electronic total energy at -18.057 eV per atom. The density of states at the Fermi level comes out at 10.87 states/eV per cell. As for the formation energy: 103 kJ/mol of formula units.

=====

# 4
NaBe3As: PBEsol geometry, SCAN.

Unit cell a=4.4191 b=4.4191 c=4.4191 alpha=90.00 beta=90.00 gamma=90.00
Space group Pm-3m (No. 221)
Asymmetric unit:
Na 0.0000 0.0000 0.0000 x1
Be 0.0000 0.5000 0.5000 x3
As 0.5000 0.5000 0.5000 x1

Results
The calculation puts the electronic total energy at -6.637 eV per atom. The density of states at the Fermi level comes out at 3.22 states/eV per cell. As for the formation energy: 413 kJ/mol of formula units.

=====

# 5
BaCaVF7: PBEsol geometry, SCAN.

Unit cell a=5.5516 b=10.8362 c=9.4012 alpha=90.00 beta=92.03 gamma=90.00
Space group P2_1/c (No. 14)
Asymmetric unit:
Ba 0.2287 0.1544 0.4769 x4
Ca 0.2164 0.5735 0.3631 x4
V 0.3061 0.6552 0.7031 x4
F 0.0221 0.7374 0.7743 x4
F 0.1064 0.5223 0.1449 x4
F 0.1498 0.5140 0.6091 x4
F 0.2233 0.7377 0.5271 x4
F 0.4029 0.5571 0.8613 x4
F 0.4078 0.1074 0.8991 x4
F 0.4980 0.7045 0.2756 x4

Results
The calculation puts the uncorrected formation energy at -3667 kJ/mol of formula units. The calculation puts the electronic total energy at -12.948 eV per atom.

=====

# 6
Ta3TiMn: PBEsol geometry, SCAN.

Unit cell a=4.5387 b=4.5387 c=4.5387 alpha=90.00 beta=90.00 gamma=90.00
Space group Pm-3m (No. 221)
Asymmetric unit:
Ta 0.0000 0.0000 0.5000 x3
Ti 0.5000 0.5000 0.5000 x1
Mn 0.0000 0.0000 0.0000 x1

Results
The calculation puts the electronic total energy at -46.032 eV per atom. The density of states at the Fermi level comes out at 5.82 states/eV per cell. As for the formation energy: 374 kJ/mol of formula units.

=====

Among the records above, which one has the highest electronic total energy?
NaBe3As

=====

electronic total energy of number 2 (Ti3SiGe)?
-15.248 eV per atom

=====

electronic total energy of number 5 (BaCaVF7)?
-12.948 eV per atom

=====

Look up the electronic total energy of the fourth one.
-6.637 eV per atom